! ReHg2Au, relaxed, DFT PBE; values from VASP
! Magnetization   2.13 μB/f.u.
! Excess energy over the best structure of this formula in the dataset   341.8 meV/atom
! Electronic total energy   -3.190 eV/atom
&SYSTEM
  ibrav = 0, nat = 4, ntyp = 3
/
ATOMIC_SPECIES
Au 196.97 Au.upf
Hg 200.59 Hg.upf
Re 186.21 Re.upf
ATOMIC_POSITIONS angstrom
Au 2.5975 -0.0090 1.5012
Hg 0.0000 0.0000 0.0000
Hg 0.8708 2.4472 1.5012
Re 3.4684 2.4382 0.0000
CELL_PARAMETERS angstrom
5.1950 -0.0181 0.0000
1.7417 4.8944 0.0000
-3.4684 -2.4382 3.0024


! ReHg2Au, relaxed, DFT PBE; values from VASP
! Magnetization   0.00 μB/f.u.
! Excess energy over the best structure of this formula in the dataset   191.4 meV/atom
! Electronic total energy   -3.340 eV/atom
&SYSTEM
  ibrav = 0, nat = 4, ntyp = 3
/
ATOMIC_SPECIES
Au 196.97 Au.upf
Hg 200.59 Hg.upf
Re 186.21 Re.upf
ATOMIC_POSITIONS angstrom
Au 0.8290 0.9690 2.5902
Hg -0.9616 -0.0671 9.8711
Hg -0.4875 -0.0340 5.0043
Re -1.9935 1.9033 2.3216
CELL_PARAMETERS angstrom
-3.3056 0.9006 4.6899
2.3395 -0.9680 5.2271
-0.1983 2.9397 -5.0051


- Which of these has the highest magnetization?
  number 1


- What is the electronic total energy in the second record?
  -3.340 eV/atom


- Which value of magnetization does entry 1 give?
  2.13 μB/f.u.